Entry 1:
! Ta2TiGaH (GGA-PBE, relaxed); values from VASP
&SYSTEM
  ibrav = 0, nat = 5, ntyp = 4
/
ATOMIC_SPECIES
H 1.01 H.upf
Ti 47.87 Ti.upf
Ga 69.72 Ga.upf
Ta 180.95 Ta.upf
CELL_PARAMETERS angstrom
4.008 0.000 0.000
0.000 4.008 0.000
0.000 0.000 4.372
ATOMIC_POSITIONS crystal
H 0.000 0.000 0.000
Ti 0.000 0.000 0.500
Ga 0.500 0.500 0.500
Ta 0.000 0.500 0.000
Ta 0.500 0.000 0.000
! * crystal system: tetragonal
! * total magnetic moment: 0.00 μB per formula unit
! * raw total energy: -7.80 eV per atom


Entry 2:
! TiV2HPt (GGA-PBE, relaxed); values from VASP
&SYSTEM
  ibrav = 0, nat = 5, ntyp = 4
/
ATOMIC_SPECIES
H 1.01 H.upf
Ti 47.87 Ti.upf
Pt 195.08 Pt.upf
V 50.94 V.upf
CELL_PARAMETERS angstrom
3.787 0.000 0.000
0.000 3.787 0.000
0.000 0.000 4.205
ATOMIC_POSITIONS crystal
H 0.000 0.000 0.000
Ti 0.000 0.000 0.500
Pt 0.500 0.500 0.500
V 0.000 0.500 0.000
V 0.500 0.000 0.000
! * crystal system: tetragonal
! * total magnetic moment: 0.00 μB per formula unit
! * raw total energy: -7.50 eV per atom


Entry 3:
! In4Ag (GGA-PBE, relaxed); values from VASP
&SYSTEM
  ibrav = 0, nat = 5, ntyp = 2
/
ATOMIC_SPECIES
In 114.82 In.upf
Ag 107.87 Ag.upf
CELL_PARAMETERS angstrom
-2.095 2.095 7.829
2.095 -2.095 7.829
2.095 2.095 -7.829
ATOMIC_POSITIONS crystal
In 0.750 0.250 0.500
In 0.250 0.750 0.500
In 0.593 0.593 0.000
In 0.407 0.407 0.000
Ag 0.000 0.000 0.000
! * crystal system: tetragonal
! * total magnetic moment: 0.00 μB per formula unit
! * raw total energy: -2.55 eV per atom


Entry 4:
! SrCa2H8Rh (GGA-PBE, relaxed); values from VASP
&SYSTEM
  ibrav = 0, nat = 12, ntyp = 4
/
ATOMIC_SPECIES
Sr 87.62 Sr.upf
Ca 40.08 Ca.upf
H 1.01 H.upf
Rh 102.91 Rh.upf
CELL_PARAMETERS angstrom
4.894 0.000 0.000
-2.447 4.238 0.000
0.000 0.000 7.122
ATOMIC_POSITIONS crystal
Sr 0.000 0.000 0.500
Ca 0.667 0.333 0.142
Ca 0.333 0.667 0.858
H 0.836 0.672 0.858
H 0.328 0.164 0.858
H 0.836 0.164 0.858
H 0.164 0.328 0.142
H 0.672 0.836 0.142
H 0.164 0.836 0.142
H 0.667 0.333 0.449
H 0.333 0.667 0.551
Rh 0.000 0.000 0.000
! * crystal system: trigonal
! * total magnetic moment: 0.00 μB per formula unit
! * raw total energy: -3.82 eV per atom


Entry 5:
! Zr3Mn5 (GGA-PBE, relaxed); values from VASP
&SYSTEM
  ibrav = 0, nat = 8, ntyp = 2
/
ATOMIC_SPECIES
Zr 91.22 Zr.upf
Mn 54.94 Mn.upf
CELL_PARAMETERS angstrom
3.139 -4.446 0.000
3.139 4.446 0.000
0.000 0.000 4.390
ATOMIC_POSITIONS crystal
Zr 0.500 0.500 0.000
Zr 0.759 0.241 0.500
Zr 0.241 0.759 0.500
Mn 0.000 0.000 0.000
Mn 0.500 0.000 0.000
Mn 0.000 0.500 0.000
Mn 0.752 0.752 0.500
Mn 0.248 0.248 0.500
! * crystal system: orthorhombic
! * total magnetic moment: 0.22 μB per formula unit
! * raw total energy: -8.87 eV per atom


Entry 6:
! TbSnPt5 (GGA-PBE, relaxed); values from VASP
&SYSTEM
  ibrav = 0, nat = 28, ntyp = 3
/
ATOMIC_SPECIES
Tb 158.93 Tb.upf
Sn 118.71 Sn.upf
Pt 195.08 Pt.upf
CELL_PARAMETERS angstrom
-0.099 -5.265 1.457
4.418 -2.107 -7.313
9.355 1.285 5.281
ATOMIC_POSITIONS crystal
Tb 0.250 0.253 0.951
Tb 0.750 0.247 0.451
Tb 0.250 0.753 0.549
Tb 0.750 0.747 0.049
Sn 0.250 0.845 0.850
Sn 0.750 0.655 0.350
Sn 0.250 0.345 0.650
Sn 0.750 0.155 0.150
Pt 0.250 0.598 0.018
Pt 0.750 0.902 0.518
Pt 0.250 0.098 0.482
Pt 0.750 0.402 0.982
Pt 0.750 0.310 0.735
Pt 0.250 0.190 0.235
Pt 0.750 0.810 0.765
Pt 0.250 0.690 0.265
Pt 0.250 0.944 0.076
Pt 0.750 0.556 0.576
Pt 0.250 0.444 0.424
Pt 0.750 0.056 0.924
Pt 0.993 0.441 0.202
Pt 0.007 0.059 0.702
Pt 0.507 0.941 0.298
Pt 0.493 0.559 0.798
Pt 0.007 0.559 0.798
Pt 0.993 0.941 0.298
Pt 0.493 0.059 0.702
Pt 0.507 0.441 0.202
! * crystal system: orthorhombic
! * total magnetic moment: 0.00 μB per formula unit
! * raw total energy: -6.21 eV per atom


Entry 7:
! Zn3GaPd2 (GGA-PBE, relaxed); values from VASP
&SYSTEM
  ibrav = 0, nat = 12, ntyp = 3
/
ATOMIC_SPECIES
Zn 65.41 Zn.upf
Ga 69.72 Ga.upf
Pd 106.42 Pd.upf
CELL_PARAMETERS angstrom
-3.848 0.105 -3.035
-0.711 -2.558 4.120
-0.475 7.874 3.139
ATOMIC_POSITIONS crystal
Zn 0.215 0.466 0.430
Zn 0.534 0.785 0.070
Zn 0.785 0.534 0.570
Zn 0.466 0.215 0.930
Zn 0.624 0.376 0.250
Zn 0.376 0.624 0.750
Ga 0.125 0.875 0.250
Ga 0.875 0.125 0.750
Pd 0.051 0.301 0.104
Pd 0.699 0.949 0.396
Pd 0.949 0.699 0.896
Pd 0.301 0.051 0.604
! * crystal system: monoclinic
! * total magnetic moment: 0.00 μB per formula unit
! * raw total energy: -3.29 eV per atom


Entry 8:
! MgBeSb2 (GGA-PBE, relaxed); values from VASP
&SYSTEM
  ibrav = 0, nat = 4, ntyp = 3
/
ATOMIC_SPECIES
Sb 121.76 Sb.upf
Mg 24.30 Mg.upf
Be 9.01 Be.upf
CELL_PARAMETERS angstrom
-1.151 -3.378 1.324
3.151 -1.825 -1.918
4.704 -0.111 3.806
ATOMIC_POSITIONS crystal
Sb 0.000 0.050 0.035
Sb 0.000 0.450 0.465
Mg 0.500 0.750 0.750
Be 0.500 0.250 0.250
! * crystal system: monoclinic
! * total magnetic moment: 0.00 μB per formula unit
! * raw total energy: -3.19 eV per atom


Entry 9:
! Mg2SiB (GGA-PBE, relaxed); values from VASP
&SYSTEM
  ibrav = 0, nat = 12, ntyp = 3
/
ATOMIC_SPECIES
Si 28.09 Si.upf
B 10.81 B.upf
Mg 24.30 Mg.upf
CELL_PARAMETERS angstrom
3.421 0.000 0.000
-1.710 2.962 0.000
0.000 0.000 19.811
ATOMIC_POSITIONS crystal
Si 0.000 0.000 0.935
Si 0.333 0.667 0.602
Si 0.667 0.333 0.269
B 0.000 0.000 0.584
B 0.333 0.667 0.251
B 0.667 0.333 0.917
Mg 0.000 0.000 0.165
Mg 0.333 0.667 0.832
Mg 0.667 0.333 0.498
Mg 0.000 0.000 0.708
Mg 0.333 0.667 0.375
Mg 0.667 0.333 0.042
! * crystal system: trigonal
! * total magnetic moment: 0.00 μB per formula unit
! * raw total energy: -3.82 eV per atom


Entry 10:
! Ba2Sn2Sb2P (GGA-PBE, relaxed); values from VASP
&SYSTEM
  ibrav = 0, nat = 7, ntyp = 4
/
ATOMIC_SPECIES
Ba 137.33 Ba.upf
Sn 118.71 Sn.upf
Sb 121.76 Sb.upf
P 30.97 P.upf
CELL_PARAMETERS angstrom
-4.263 -0.766 -0.404
-1.473 -6.045 3.143
-0.889 -0.256 9.637
ATOMIC_POSITIONS crystal
Ba 0.446 0.106 0.721
Ba 0.554 0.894 0.279
Sn 0.766 0.459 0.884
Sn 0.234 0.541 0.116
Sb 0.858 0.293 0.361
Sb 0.142 0.707 0.639
P 0.000 0.000 0.000
! * crystal system: triclinic
! * total magnetic moment: 0.00 μB per formula unit
! * raw total energy: -4.22 eV per atom


Entry 11:
! KFeTe4 (GGA-PBE, relaxed); values from VASP
&SYSTEM
  ibrav = 0, nat = 6, ntyp = 3
/
ATOMIC_SPECIES
K 39.10 K.upf
Fe 55.84 Fe.upf
Te 127.60 Te.upf
CELL_PARAMETERS angstrom
4.911 -1.611 3.915
-0.720 0.387 6.432
-0.331 -5.411 3.557
ATOMIC_POSITIONS crystal
K 0.000 0.000 0.000
Fe 0.750 0.750 0.750
Te 0.871 0.376 0.376
Te 0.376 0.376 0.871
Te 0.376 0.871 0.376
Te 0.376 0.376 0.376
! * crystal system: cubic
! * total magnetic moment: 4.23 μB per formula unit
! * raw total energy: -3.24 eV per atom


Entry 12:
! Li6Th4Rh7 (GGA-PBE, relaxed); values from VASP
&SYSTEM
  ibrav = 0, nat = 17, ntyp = 3
/
ATOMIC_SPECIES
Li 6.94 Li.upf
Th 232.04 Th.upf
Rh 102.91 Rh.upf
CELL_PARAMETERS angstrom
-6.627 -2.918 -0.261
4.845 -4.785 -2.477
1.606 1.739 6.848
ATOMIC_POSITIONS crystal
Li 0.688 0.000 0.688
Li 0.688 0.688 0.000
Li 0.000 0.312 0.312
Li 0.312 0.000 0.312
Li 0.312 0.312 0.000
Li 0.000 0.688 0.688
Th 0.500 0.000 0.000
Th 0.500 0.500 0.500
Th 0.000 0.500 0.000
Th 0.000 0.000 0.500
Rh 0.750 0.500 0.250
Rh 0.250 0.750 0.500
Rh 0.500 0.750 0.250
Rh 0.750 0.250 0.500
Rh 0.250 0.500 0.750
Rh 0.500 0.250 0.750
Rh 0.000 0.000 0.000
! * crystal system: cubic
! * total magnetic moment: 0.00 μB per formula unit
! * raw total energy: -5.93 eV per atom